Model a:
## MgScBe (PBE)

Data for a relaxed MgScBe crystal.

a = 6.0821 Å, b = 6.0821 Å, c = 6.0821 Å
α = 150.57°, β = 150.57°, γ = 42.10°
Closest atoms and distances in Å follow each position.
Atoms (fractional coordinates):
Mg 0.0000 0.0000 0.0000  4 Be 2.70
Sc 0.2812 0.2812 0.0000  4 Be 2.71
Be 0.6399 0.6399 0.0000  4 Mg 2.70, 4 Sc 2.71

Total magnetization, μB per formula unit: 0.00
DOS at the Fermi energy, states/eV per cell: 2.29

***

Model b:
## MgScBe (PBE)

Data for a relaxed MgScBe crystal.

a = 4.9928 Å, b = 4.9928 Å, c = 4.9928 Å
α = 145.31°, β = 129.09°, γ = 63.07°
Closest atoms and distances in Å follow each position.
Atoms (fractional coordinates):
Mg 0.0000 0.0000 0.0000  5 Sc 2.77-3.01, 5 Be 2.80-2.99, 2 Mg 2.98
Sc 0.6749 0.6749 0.0000  5 Mg 2.77-3.01, 5 Be 2.92-2.94, 2 Sc 2.98
Be 0.3291 0.3291 0.0000  5 Mg 2.80-2.99, 5 Sc 2.92-2.94, 2 Be 2.98

Total magnetization, μB per formula unit: 0.00
DOS at the Fermi energy, states/eV per cell: 2.04

***

Model c:
## MgScBe (PBE)

Data for a relaxed MgScBe crystal.

a = 7.4192 Å, b = 7.4192 Å, c = 4.7359 Å
α = 90.00°, β = 90.00°, γ = 155.64°
Closest atoms and distances in Å follow each position.
Atoms (fractional coordinates):
Mg 0.2209 0.7791 0.7500  2 Be 2.65, 4 Mg 2.96
Mg 0.7791 0.2209 0.2500  2 Be 2.65, 4 Mg 2.96
Sc 0.0769 0.9231 0.2500  6 Be 2.69-2.84
Sc 0.9231 0.0769 0.7500  6 Be 2.69-2.84
Be 0.4261 0.5739 0.2500  2 Mg 2.65, 6 Sc 2.69-2.84
Be 0.5739 0.4261 0.7500  2 Mg 2.65, 6 Sc 2.69-2.84

Total magnetization, μB per formula unit: 0.00
DOS at the Fermi energy, states/eV per cell: 4.84

***

Preferred: model c; penalty for the next structure: 11 meV/atom.